#P
# Li4Ag3Hg4

An optimized crystal structure of Li4Ag3Hg4 (PBE, the Alexandria database).

Computed properties:
D(E_F) = 3.282 states/eV/f.u.
space group = Immm
total moment = 0.00 μB/cell

Unit cell a=14.814 b=14.814 c=14.814 alpha=168.35 beta=161.61 gamma=21.82
Sites, in units of the cell vectors:
Li  0.046  0.046  0.000
Li  0.319  0.819  0.500
Li  0.681  0.181  0.500
Li  0.954  0.954  0.000
Ag  0.135  0.635  0.500
Ag  0.500  0.500  0.000
Ag  0.865  0.365  0.500
Hg  0.226  0.226  0.000
Hg  0.410  0.910  0.500
Hg  0.590  0.090  0.500
Hg  0.774  0.774  0.000

#Q
# Li4Ag3Hg4

An optimized crystal structure of Li4Ag3Hg4 (PBE, the Alexandria database).

Computed properties:
D(E_F) = 2.257 states/eV/f.u.
space group = Immm
total moment = 0.00 μB/cell

Unit cell a=9.573 b=9.573 c=9.573 alpha=161.56 beta=131.27 gamma=52.54
Sites, in units of the cell vectors:
Li  0.204  0.000  0.204
Li  0.236  0.236  0.000
Li  0.764  0.764  0.000
Li  0.796  0.000  0.796
Ag  0.093  0.593  0.500
Ag  0.500  0.500  0.000
Ag  0.907  0.407  0.500
Hg  0.156  0.847  0.309
Hg  0.462  0.153  0.309
Hg  0.538  0.847  0.691
Hg  0.844  0.153  0.691

Question: which arrangement is favored energetically? Ranking from most to least stable: #Q, #P.

#P
# LiAg6Hg

An optimized crystal structure of LiAg6Hg (PBE, the Alexandria database).

Computed properties:
D(E_F) = 3.805 states/eV/f.u.
space group = P-6m2
total moment = 0.00 μB/cell

Unit cell a=5.920 b=5.920 c=4.775 alpha=90.00 beta=90.00 gamma=120.00
Sites, in units of the cell vectors:
Li  0.000  0.000  0.000
Ag  0.329  0.165  0.500
Ag  0.503  0.005  0.000
Ag  0.503  0.497  0.000
Ag  0.835  0.165  0.500
Ag  0.835  0.671  0.500
Ag  0.995  0.497  0.000
Hg  0.333  0.667  0.500

#Q
# LiAg6Hg

An optimized crystal structure of LiAg6Hg (PBE, the Alexandria database).

Computed properties:
D(E_F) = 3.130 states/eV/f.u.
space group = Amm2
total moment = 0.00 μB/cell

Unit cell a=4.813 b=5.923 c=5.923 alpha=59.12 beta=90.00 gamma=90.00
Sites, in units of the cell vectors:
Li  0.000  0.000  0.000
Ag  0.000  0.000  0.499
Ag  0.000  0.499  0.000
Ag  0.500  0.158  0.669
Ag  0.500  0.162  0.162
Ag  0.500  0.666  0.666
Ag  0.500  0.669  0.158
Hg  0.000  0.500  0.500

Question: which arrangement is favored energetically? Ranking from most to least stable: #Q, #P.

#P
# LiAg6Hg2

An optimized crystal structure of LiAg6Hg2 (PBE, the Alexandria database).

Computed properties:
D(E_F) = 2.322 states/eV/f.u.
space group = C2/c
total moment = 0.00 μB/cell

Unit cell a=7.352 b=7.352 c=7.613 alpha=114.75 beta=114.75 gamma=85.73
Sites, in units of the cell vectors:
Li  0.145  0.855  0.750
Li  0.855  0.145  0.250
Ag  0.003  0.799  0.320
Ag  0.084  0.369  0.129
Ag  0.201  0.997  0.180
Ag  0.323  0.586  0.031
Ag  0.369  0.084  0.629
Ag  0.414  0.677  0.469
Ag  0.586  0.323  0.531
Ag  0.631  0.916  0.371
Ag  0.677  0.414  0.969
Ag  0.799  0.003  0.820
Ag  0.916  0.631  0.871
Ag  0.997  0.201  0.680
Hg  0.206  0.434  0.569
Hg  0.434  0.206  0.069
Hg  0.566  0.794  0.931
Hg  0.794  0.566  0.431

#Q
# LiAg6Hg2

An optimized crystal structure of LiAg6Hg2 (PBE, the Alexandria database).

Computed properties:
D(E_F) = 3.215 states/eV/f.u.
space group = C2/m
total moment = 0.00 μB/cell

Unit cell a=5.529 b=5.529 c=6.972 alpha=104.99 beta=104.99 gamma=62.69
Sites, in units of the cell vectors:
Li  0.000  0.000  0.000
Ag  0.150  0.654  0.627
Ag  0.187  0.187  0.762
Ag  0.346  0.850  0.373
Ag  0.654  0.150  0.627
Ag  0.813  0.813  0.238
Ag  0.850  0.346  0.373
Hg  0.320  0.320  0.191
Hg  0.680  0.680  0.809

Question: which arrangement is favored energetically? Ranking from most to least stable: #P, #Q.

#P
# Li2Ag4Hg

An optimized crystal structure of Li2Ag4Hg (PBE, the Alexandria database).

Computed properties:
D(E_F) = 2.761 states/eV/f.u.
space group = I4/mmm
total moment = 0.00 μB/cell

Unit cell a=7.823 b=7.823 c=7.823 alpha=141.30 beta=141.30 gamma=55.88
Sites, in units of the cell vectors:
Li  0.107  0.107  0.000
Li  0.893  0.893  0.000
Ag  0.000  0.500  0.500
Ag  0.300  0.300  0.000
Ag  0.500  0.000  0.500
Ag  0.700  0.700  0.000
Hg  0.500  0.500  0.000

#Q
# Li2Ag4Hg

An optimized crystal structure of Li2Ag4Hg (PBE, the Alexandria database).

Computed properties:
D(E_F) = 2.334 states/eV/f.u.
space group = Cmce
total moment = 0.00 μB/cell

Unit cell a=5.682 b=5.682 c=9.864 alpha=90.00 beta=90.00 gamma=58.89
Sites, in units of the cell vectors:
Li  0.156  0.156  0.000
Li  0.344  0.344  0.500
Li  0.656  0.656  0.500
Li  0.844  0.844  0.000
Ag  0.144  0.356  0.750
Ag  0.160  0.840  0.776
Ag  0.340  0.660  0.276
Ag  0.356  0.144  0.250
Ag  0.644  0.856  0.750
Ag  0.660  0.340  0.724
Ag  0.840  0.160  0.224
Ag  0.856  0.644  0.250
Hg  0.000  0.000  0.500
Hg  0.500  0.500  0.000

#R
# Li2Ag4Hg

An optimized crystal structure of Li2Ag4Hg (PBE, the Alexandria database).

Computed properties:
D(E_F) = 2.958 states/eV/f.u.
space group = I4/mmm
total moment = 0.00 μB/cell

Unit cell a=5.572 b=5.572 c=5.572 alpha=103.25 beta=103.25 gamma=122.79
Sites, in units of the cell vectors:
Li  0.250  0.750  0.500
Li  0.750  0.250  0.500
Ag  0.205  0.205  0.409
Ag  0.205  0.795  0.000
Ag  0.795  0.205  0.000
Ag  0.795  0.795  0.591
Hg  0.500  0.500  0.000

Question: which arrangement is favored energetically? Ranking from most to least stable: #Q, #R, #P.

#P
# Li12Ag6Hg

An optimized crystal structure of Li12Ag6Hg (PBE, the Alexandria database).

Computed properties:
D(E_F) = 6.263 states/eV/f.u.
space group = R-3
total moment = 0.00 μB/cell

Unit cell a=7.573 b=7.573 c=7.573 alpha=110.79 beta=110.79 gamma=110.79
Sites, in units of the cell vectors:
Li  0.021  0.180  0.296
Li  0.180  0.296  0.021
Li  0.245  0.673  0.617
Li  0.296  0.021  0.180
Li  0.327  0.383  0.755
Li  0.383  0.755  0.327
Li  0.617  0.245  0.673
Li  0.673  0.617  0.245
Li  0.704  0.979  0.820
Li  0.755  0.327  0.383
Li  0.820  0.704  0.979
Li  0.979  0.820  0.704
Ag  0.069  0.548  0.855
Ag  0.145  0.931  0.452
Ag  0.452  0.145  0.931
Ag  0.548  0.855  0.069
Ag  0.855  0.069  0.548
Ag  0.931  0.452  0.145
Hg  0.500  0.500  0.500

#Q
# Li12Ag6Hg

An optimized crystal structure of Li12Ag6Hg (PBE, the Alexandria database).

Computed properties:
D(E_F) = 7.106 states/eV/f.u.
space group = R-3
total moment = 0.00 μB/cell

Unit cell a=6.994 b=6.994 c=6.994 alpha=90.94 beta=90.94 gamma=90.94
Sites, in units of the cell vectors:
Li  0.028  0.930  0.304
Li  0.070  0.696  0.972
Li  0.124  0.474  0.347
Li  0.304  0.028  0.930
Li  0.347  0.124  0.474
Li  0.474  0.347  0.124
Li  0.526  0.653  0.876
Li  0.653  0.876  0.526
Li  0.696  0.972  0.070
Li  0.876  0.526  0.653
Li  0.930  0.304  0.028
Li  0.972  0.070  0.696
Ag  0.216  0.776  0.619
Ag  0.224  0.381  0.784
Ag  0.381  0.784  0.224
Ag  0.619  0.216  0.776
Ag  0.776  0.619  0.216
Ag  0.784  0.224  0.381
Hg  0.500  0.500  0.500

Question: which arrangement is favored energetically? Ranking from most to least stable: #P, #Q.

#P
# LiAg8Hg2

An optimized crystal structure of LiAg8Hg2 (PBE, the Alexandria database).

Computed properties:
D(E_F) = 3.830 states/eV/f.u.
space group = Immm
total moment = 0.00 μB/cell

Unit cell a=7.662 b=7.662 c=7.662 alpha=149.43 beta=109.08 gamma=79.17
Sites, in units of the cell vectors:
Li  0.000  0.000  0.000
Ag  0.077  0.834  0.243
Ag  0.173  0.673  0.500
Ag  0.227  0.500  0.727
Ag  0.409  0.166  0.243
Ag  0.591  0.834  0.757
Ag  0.773  0.500  0.273
Ag  0.827  0.327  0.500
Ag  0.923  0.166  0.757
Hg  0.363  0.363  0.000
Hg  0.637  0.637  0.000

#Q
# LiAg8Hg2

An optimized crystal structure of LiAg8Hg2 (PBE, the Alexandria database).

Computed properties:
D(E_F) = 2.937 states/eV/f.u.
space group = C2/m
total moment = 0.00 μB/cell

Unit cell a=7.624 b=7.624 c=5.002 alpha=104.69 beta=104.69 gamma=120.32
Sites, in units of the cell vectors:
Li  0.000  0.000  0.000
Ag  0.100  0.320  0.634
Ag  0.199  0.801  0.000
Ag  0.320  0.100  0.634
Ag  0.404  0.404  0.185
Ag  0.596  0.596  0.815
Ag  0.680  0.900  0.366
Ag  0.801  0.199  0.000
Ag  0.900  0.680  0.366
Hg  0.305  0.695  0.500
Hg  0.695  0.305  0.500

Question: which arrangement is favored energetically? Ranking from most to least stable: #P, #Q.

#P
# Li4Ag3Hg2

An optimized crystal structure of Li4Ag3Hg2 (PBE, the Alexandria database).

Computed properties:
D(E_F) = 2.400 states/eV/f.u.
space group = C2/m
total moment = 0.00 μB/cell

Unit cell a=4.562 b=4.562 c=8.606 alpha=90.24 beta=90.24 gamma=59.79
Sites, in units of the cell vectors:
Li  0.000  0.000  0.167
Li  0.000  0.000  0.833
Li  0.334  0.334  0.607
Li  0.666  0.666  0.393
Ag  0.000  0.000  0.500
Ag  0.333  0.333  0.935
Ag  0.667  0.667  0.065
Hg  0.333  0.333  0.283
Hg  0.667  0.667  0.717

#Q
# Li4Ag3Hg2

An optimized crystal structure of Li4Ag3Hg2 (PBE, the Alexandria database).

Computed properties:
D(E_F) = 2.900 states/eV/f.u.
space group = C2/m
total moment = 0.00 μB/cell

Unit cell a=7.066 b=7.066 c=5.186 alpha=106.17 beta=106.17 gamma=39.33
Sites, in units of the cell vectors:
Li  0.051  0.051  0.266
Li  0.276  0.276  0.370
Li  0.724  0.724  0.630
Li  0.949  0.949  0.734
Ag  0.389  0.389  0.919
Ag  0.500  0.500  0.500
Ag  0.611  0.611  0.081
Hg  0.161  0.161  0.804
Hg  0.839  0.839  0.196

Question: which arrangement is favored energetically? Ranking from most to least stable: #P, #Q.

#P
# Li4Ag7Hg

An optimized crystal structure of Li4Ag7Hg (PBE, the Alexandria database).

Computed properties:
D(E_F) = 3.464 states/eV/f.u.
space group = P-1
total moment = 0.00 μB/cell

Unit cell a=5.056 b=5.802 c=7.655 alpha=79.05 beta=71.45 gamma=89.98
Sites, in units of the cell vectors:
Li  0.172  0.165  0.332
Li  0.320  0.576  0.672
Li  0.680  0.424  0.328
Li  0.828  0.835  0.668
Ag  0.000  0.255  0.001
Ag  0.000  0.745  0.999
Ag  0.167  0.662  0.344
Ag  0.331  0.086  0.655
Ag  0.500  0.500  0.000
Ag  0.669  0.914  0.345
Ag  0.833  0.338  0.656
Hg  0.500  0.000  0.000

#Q
# Li4Ag7Hg

An optimized crystal structure of Li4Ag7Hg (PBE, the Alexandria database).

Computed properties:
D(E_F) = 2.752 states/eV/f.u.
space group = C2/m
total moment = 0.00 μB/cell

Unit cell a=5.857 b=5.857 c=10.075 alpha=117.36 beta=117.36 gamma=52.49
Sites, in units of the cell vectors:
Li  0.083  0.083  0.311
Li  0.334  0.334  0.226
Li  0.666  0.666  0.774
Li  0.917  0.917  0.689
Ag  0.000  0.000  0.000
Ag  0.159  0.159  0.615
Ag  0.207  0.207  0.915
Ag  0.376  0.376  0.524
Ag  0.624  0.624  0.476
Ag  0.793  0.793  0.085
Ag  0.841  0.841  0.385
Hg  0.500  0.500  0.000

Question: which arrangement is favored energetically? Ranking from most to least stable: #P, #Q.

#P
# Li5Ag2Hg4

An optimized crystal structure of Li5Ag2Hg4 (PBE, the Alexandria database).

Computed properties:
D(E_F) = 3.031 states/eV/f.u.
space group = P2/m
total moment = 0.00 μB/cell

Unit cell a=7.566 b=3.106 c=9.138 alpha=90.00 beta=107.76 gamma=90.00
Sites, in units of the cell vectors:
Li  0.000  0.000  0.000
Li  0.002  0.000  0.648
Li  0.417  0.000  0.115
Li  0.583  0.000  0.885
Li  0.998  0.000  0.352
Ag  0.347  0.000  0.590
Ag  0.653  0.000  0.410
Hg  0.258  0.500  0.859
Hg  0.267  0.500  0.294
Hg  0.733  0.500  0.706
Hg  0.742  0.500  0.141

#Q
# Li5Ag2Hg4

An optimized crystal structure of Li5Ag2Hg4 (PBE, the Alexandria database).

Computed properties:
D(E_F) = 2.306 states/eV/f.u.
space group = C2/m
total moment = 0.00 μB/cell

Unit cell a=10.819 b=10.819 c=6.859 alpha=93.40 beta=93.40 gamma=16.28
Sites, in units of the cell vectors:
Li  0.000  0.000  0.000
Li  0.275  0.275  0.730
Li  0.344  0.344  0.108
Li  0.656  0.656  0.892
Li  0.725  0.725  0.270
Ag  0.406  0.406  0.781
Ag  0.594  0.594  0.219
Hg  0.159  0.159  0.546
Hg  0.461  0.461  0.309
Hg  0.539  0.539  0.691
Hg  0.841  0.841  0.454

Question: which arrangement is favored energetically? Ranking from most to least stable: #P, #Q.

#P
# Li2Ag6Hg

An optimized crystal structure of Li2Ag6Hg (PBE, the Alexandria database).

Computed properties:
D(E_F) = 2.935 states/eV/f.u.
space group = C2/m
total moment = 0.00 μB/cell

Unit cell a=6.633 b=6.633 c=6.593 alpha=108.02 beta=108.02 gamma=35.50
Sites, in units of the cell vectors:
Li  0.059  0.059  0.336
Li  0.941  0.941  0.664
Ag  0.168  0.168  0.000
Ag  0.277  0.277  0.662
Ag  0.392  0.392  0.342
Ag  0.608  0.608  0.658
Ag  0.723  0.723  0.338
Ag  0.832  0.832  0.000
Hg  0.500  0.500  0.000

#Q
# Li2Ag6Hg

An optimized crystal structure of Li2Ag6Hg (PBE, the Alexandria database).

Computed properties:
D(E_F) = 2.600 states/eV/f.u.
space group = C2/m
total moment = 0.00 μB/cell

Unit cell a=6.128 b=6.128 c=4.966 alpha=100.02 beta=100.02 gamma=77.36
Sites, in units of the cell vectors:
Li  0.182  0.182  0.332
Li  0.818  0.818  0.668
Ag  0.096  0.730  0.211
Ag  0.270  0.904  0.789
Ag  0.346  0.346  0.916
Ag  0.654  0.654  0.084
Ag  0.730  0.096  0.211
Ag  0.904  0.270  0.789
Hg  0.500  0.500  0.500

Question: which arrangement is favored energetically? Ranking from most to least stable: #P, #Q.